No. 1
Material: CdCuOF2
Method: DFT, PBE
State: optimized geometry

Computed properties:
* Fermi-level density of states: 1.8 states/eV/cell
* energy relative to the elements, uncorrected: -1.127 eV per atom
* relative energy among the computed polymorphs: 0.0 meV/atom
* ρ: 6.24 g/cm3
* crystal system: tetragonal

Cell lengths 3.916, 3.916, 3.988 Å; angles 90.00, 90.00, 90.00 degrees
Element x y z (fractional)
Cd1 0.500 0.500 0.500
F1 0.000 0.500 0.000
F2 0.500 0.000 0.000
Cu1 0.000 0.000 0.000
O1 0.000 0.000 0.500

---

No. 2
Material: CdCu2PbF8
Method: DFT, PBE
State: optimized geometry

Computed properties:
* energy relative to the elements, uncorrected: -1.855 eV per atom
* ρ: 5.80 g/cm3
* crystal system: tetragonal

Cell lengths 5.612, 5.612, 6.733 Å; angles 114.63, 114.63, 90.00 degrees
Last column: magnetic moment on the atom in μB.
Element x y z (fractional)
F1 0.061 0.396 0.380  0.07
F2 0.017 0.939 0.620  0.07
F3 0.391 0.269 0.106  0.07
F4 0.604 0.681 0.620  0.07
F5 0.715 0.837 0.106  0.07
F6 0.731 0.285 0.894  0.07
F7 0.319 0.983 0.380  0.07
F8 0.163 0.609 0.894  0.07
Cu1 0.250 0.750 0.500  0.71
Cu2 0.500 0.500 0.000  0.69
Cd1 0.000 0.000 0.000  0.01
Pb1 0.750 0.250 0.500  0.02